PaNiSnPd | PBE-GGA | optimized geometry

It has space group F-43m (No. 216), with a = 6.731 Å, b = 6.731 Å, c = 6.731 Å, α = 90.00°, β = 90.00° and γ = 90.00°. Symmetry generates all atoms from Pa at (0.000, 0.000, 0.000), Ni at (0.250, 0.250, 0.750), Sn at (0.000, 0.000, 0.500) and Pd at (0.250, 0.250, 0.250).

The energy relative to the elements is -0.4823 eV/atom.


Ca2CdSiIr | PBE-GGA | optimized geometry

It has space group P4/mmm (No. 123), with a = 5.572 Å, b = 5.572 Å, c = 4.558 Å, α = 90.00°, β = 90.00° and γ = 90.00°. Symmetry generates all atoms from Ca at (0.000, 0.500, 0.000), Cd at (0.000, 0.000, 0.500), Si at (0.500, 0.500, 0.500) and Ir at (0.500, 0.500, 0.000).

The calculation puts the energy relative to the elements, uncorrected at -0.3512 eV/atom.


PaCuH6Pd | PBE-GGA | optimized geometry

It has space group P-6m2 (No. 187), with a = 4.4372 Å, b = 4.4372 Å, c = 4.3462 Å, α = 90.00°, β = 90.00° and γ = 120.00°. Symmetry generates all atoms from Pa at (0.0000, 0.0000, 0.0000), Cu at (0.3333, 0.6667, 0.5000), H at (0.0111, 0.5056, 0.1988) and Pd at (0.6667, 0.3333, 0.5000).

The energy is -4.4480 eV per atom.


How do the records compare in M_tot? In the order shown, they have 0.0, 0.0, 0.0 μB/cell.